The following is a PBE calculation of an optimized crystal structure of SrInSe3, from the Alexandria database.

Computed properties:
raw formation energy	-0.1151	eV/atom
energy above the lowest structure with this stoichiometry	0.565	eV/atom

Cell: 5.895 5.895 5.895 Å, 90.00 90.00 90.00°
Space group Pm-3m (No. 221)
Unique sites:
Sr1 0.000 0.000 0.000 (multiplicity 1)
In1 0.500 0.500 0.500 (multiplicity 1)
Se1 0.000 0.000 0.500 (multiplicity 3)

***

The following is a PBE calculation of an optimized crystal structure of Sr2InSe, from the Alexandria database.

Computed properties:
raw formation energy	-0.8875	eV/atom
energy above the lowest structure with this stoichiometry	0.192	eV/atom

Cell: 7.310 8.768 3.870 Å, 90.00 90.00 90.00°
Space group Cmmm (No. 65)
Unique sites:
Sr1 0.250 0.250 0.000 (multiplicity 4)
In1 0.000 0.000 0.500 (multiplicity 2)
Se1 0.000 0.500 0.500 (multiplicity 2)

***

The following is a PBE calculation of an optimized crystal structure of SrTbIn2Se4, from the Alexandria database.

Computed properties:
raw formation energy	-1.2064	eV/atom

Cell: 7.606 4.249 7.614 Å, 90.00 108.28 90.00°
Space group P2/m (No. 10)
Unique sites:
Sr1 0.000 0.000 0.000 (multiplicity 1)
Tb1 0.000 0.500 0.500 (multiplicity 1)
In1 0.500 0.000 0.500 (multiplicity 1)
In2 0.500 0.500 0.000 (multiplicity 1)
Se1 0.227 0.000 0.718 (multiplicity 2)
Se2 0.241 0.500 0.273 (multiplicity 2)

***

The following is a PBE calculation of an optimized crystal structure of SrIn2TeSe6, from the Alexandria database.

Computed properties:
raw formation energy	-0.5954	eV/atom

Cell: 14.840 10.763 8.409 Å, 90.00 112.54 90.00°
Space group C2/c (No. 15)
Unique sites:
Sr1 0.000 0.183 0.250 (multiplicity 4)
In1 0.212 0.423 0.189 (multiplicity 8)
Te1 0.000 0.245 0.750 (multiplicity 4)
Se1 0.093 0.074 0.647 (multiplicity 8)
Se2 0.133 0.431 0.422 (multiplicity 8)
Se3 0.148 0.199 0.075 (multiplicity 8)

***

The following is a PBE calculation of an optimized crystal structure of Sr2TlInSe5, from the Alexandria database.

Computed properties:
raw formation energy	-1.0838	eV/atom

Cell: 4.203 19.378 12.766 Å, 90.00 90.00 90.00°
Space group Cmc2_1 (No. 36)
Unique sites:
Sr1 0.000 0.108 0.000 (multiplicity 4)
Sr2 0.000 0.121 0.628 (multiplicity 4)
Tl1 0.000 0.230 0.352 (multiplicity 4)
In1 0.000 0.437 0.777 (multiplicity 4)
Se1 0.000 0.045 0.395 (multiplicity 4)
Se2 0.000 0.276 0.005 (multiplicity 4)
Se3 0.000 0.308 0.701 (multiplicity 4)
Se4 0.000 0.369 0.318 (multiplicity 4)
Se5 0.000 0.498 0.598 (multiplicity 4)

***

The following is a PBE calculation of an optimized crystal structure of SrTmIn2Se4, from the Alexandria database.

Computed properties:
raw formation energy	-1.1999	eV/atom

Cell: 7.563 4.213 7.591 Å, 90.00 108.00 90.00°
Space group P2/m (No. 10)
Unique sites:
Sr1 0.000 0.000 0.000 (multiplicity 1)
Tm1 0.000 0.500 0.500 (multiplicity 1)
In1 0.500 0.000 0.500 (multiplicity 1)
In2 0.500 0.500 0.000 (multiplicity 1)
Se1 0.223 0.000 0.714 (multiplicity 2)
Se2 0.239 0.500 0.276 (multiplicity 2)

***

The following is a PBE calculation of an optimized crystal structure of Sr2TmInSe5, from the Alexandria database.

Computed properties:
raw formation energy	-1.5892	eV/atom

Cell: 4.185 18.456 13.109 Å, 90.00 90.00 90.00°
Space group Cmc2_1 (No. 36)
Unique sites:
Sr1 0.000 0.116 0.000 (multiplicity 4)
Sr2 0.000 0.133 0.636 (multiplicity 4)
Tm1 0.000 0.212 0.342 (multiplicity 4)
In1 0.000 0.449 0.762 (multiplicity 4)
Se1 0.000 0.052 0.382 (multiplicity 4)
Se2 0.000 0.288 0.987 (multiplicity 4)
Se3 0.000 0.311 0.691 (multiplicity 4)
Se4 0.000 0.361 0.322 (multiplicity 4)
Se5 0.000 0.494 0.086 (multiplicity 4)

***

The following is a PBE calculation of an optimized crystal structure of Sr2UInSe5, from the Alexandria database.

Computed properties:
raw formation energy	-1.3436	eV/atom

Cell: 18.246 4.269 13.181 Å, 90.00 90.01 90.00°
Space group Cm (No. 8)
Unique sites:
Sr1 0.000 0.000 0.000 (multiplicity 2)
Sr2 0.022 0.000 0.378 (multiplicity 2)
Sr3 0.249 0.000 0.878 (multiplicity 2)
Sr4 0.271 0.000 0.500 (multiplicity 2)
U1 0.346 0.000 0.204 (multiplicity 2)
U2 0.425 0.500 0.704 (multiplicity 2)
In1 0.107 0.500 0.645 (multiplicity 2)
In2 0.165 0.500 0.145 (multiplicity 2)
Se1 0.003 0.500 0.192 (multiplicity 2)
Se2 0.083 0.000 0.757 (multiplicity 2)
Se3 0.129 0.500 0.956 (multiplicity 2)
Se4 0.143 0.500 0.456 (multiplicity 2)
Se5 0.189 0.000 0.258 (multiplicity 2)
Se6 0.268 0.500 0.692 (multiplicity 2)
Se7 0.322 0.500 0.056 (multiplicity 2)
Se8 0.350 0.500 0.353 (multiplicity 2)
Se9 0.422 0.000 0.853 (multiplicity 2)
Se10 0.450 0.000 0.556 (multiplicity 2)